1.
Computed, not measured: a relaxed LiThPdRu crystal at the PBE level of DFT.

Structure (POSCAR):
```
LiThPdRu
1.0
0.000 3.337 3.337
3.337 0.000 3.337
3.337 3.337 0.000
Li Th Pd Ru
1 1 1 1
Cartesian
0.000 0.000 0.000
3.337 3.337 3.337
5.005 5.005 5.005
1.668 1.668 1.668
```

Values from the calculation:
Energy of formation (eV/atom): -0.360
Calculated total energy (eV per atom): -6.31


2.
Computed, not measured: a relaxed Li3FeIr crystal at the PBE level of DFT.

Structure (POSCAR):
```
Li3FeIr
1.0
4.550 0.000 0.000
0.000 4.550 0.000
0.000 0.000 4.550
Li Fe Ir
3 1 1
Cartesian
0.000 0.000 2.275
0.000 2.275 0.000
2.275 0.000 0.000
2.275 2.275 2.275
0.000 0.000 0.000
```

Values from the calculation:
Energy of formation (eV/atom): 0.906
Calculated total energy (eV per atom): -3.71
ΔE to the lowest computed polymorph (meV/atom): 0.0


3.
Computed, not measured: a relaxed H2SeBr crystal at the PBE level of DFT.

Structure (POSCAR):
```
H2SeBr
1.0
1.678 0.969 5.979
-1.678 0.969 5.979
0.000 -1.938 5.979
H Se Br
2 1 1
Cartesian
0.000 0.000 1.733
0.000 0.000 16.204
0.000 0.000 8.968
0.000 0.000 0.000
```

Values from the calculation:
Calculated total energy (eV per atom): -2.34
ΔE to the lowest computed polymorph (meV/atom): 740.7


Question: What is the formula in the third record?
Answer: H2SeBr